1.
Density functional theory data (PBE with a Hubbard U) for an optimized crystal structure of Co2PbO2.

## Properties
DOS at the Fermi energy: 2.47 states/eV per cell
SG: P4/mbm (127)

a = 7.067 Å, b = 7.067 Å, c = 3.556 Å
α = 90.00°, β = 90.00°, γ = 90.00°
Element x y z (fractional)
Co (0.132, 0.368, 0.000)
Co (0.368, 0.868, 0.000)
Co (0.632, 0.132, 0.000)
Co (0.868, 0.632, 0.000)
Pb (0.000, 0.000, 0.500)
Pb (0.500, 0.500, 0.500)
O (0.163, 0.337, 0.500)
O (0.337, 0.837, 0.500)
O (0.663, 0.163, 0.500)
O (0.837, 0.663, 0.500)

=====

2.
Density functional theory data (PBE with a Hubbard U) for an optimized crystal structure of CoPbO3.

## Properties
DOS at the Fermi energy: 7.05 states/eV per cell
SG: Pnma (62)

a = 5.516 Å, b = 7.582 Å, c = 5.358 Å
α = 90.00°, β = 90.00°, γ = 90.00°
Element x y z (fractional)
Co (0.000, 0.000, 0.000)
Co (0.000, 0.500, 0.000)
Co (0.500, 0.000, 0.500)
Co (0.500, 0.500, 0.500)
Pb (0.052, 0.250, 0.487)
Pb (0.448, 0.750, 0.987)
Pb (0.552, 0.250, 0.013)
Pb (0.948, 0.750, 0.513)
O (0.037, 0.750, 0.096)
O (0.204, 0.549, 0.702)
O (0.204, 0.951, 0.702)
O (0.296, 0.049, 0.202)
O (0.296, 0.451, 0.202)
O (0.463, 0.250, 0.596)
O (0.537, 0.750, 0.404)
O (0.704, 0.549, 0.798)
O (0.704, 0.951, 0.798)
O (0.796, 0.049, 0.298)
O (0.796, 0.451, 0.298)
O (0.963, 0.250, 0.904)

=====

3.
Density functional theory data (PBE with a Hubbard U) for an optimized crystal structure of Co2PbO2.

## Properties
DOS at the Fermi energy: 2.17 states/eV per cell
SG: I4/mmm (139)

a = 6.558 Å, b = 6.558 Å, c = 6.558 Å
α = 144.79°, β = 144.79°, γ = 50.65°
Element x y z (fractional)
Co (0.250, 0.750, 0.500)
Co (0.750, 0.250, 0.500)
Pb (0.000, 0.000, 0.000)
O (0.218, 0.218, 0.000)
O (0.782, 0.782, 0.000)

=====

4.
Density functional theory data (PBE with a Hubbard U) for an optimized crystal structure of CoPb4O6.

## Properties
DOS at the Fermi energy: 4.55 states/eV per cell
SG: Cc (9)

a = 7.200 Å, b = 7.200 Å, c = 11.300 Å
α = 114.07°, β = 114.07°, γ = 54.98°
Element x y z (fractional)
Co (0.210, 0.790, 0.500)
Co (0.790, 0.210, 0.000)
Pb (0.250, 0.314, 0.568)
Pb (0.251, 0.901, 0.254)
Pb (0.292, 0.673, 0.893)
Pb (0.314, 0.250, 0.068)
Pb (0.644, 0.835, 0.757)
Pb (0.673, 0.292, 0.393)
Pb (0.835, 0.644, 0.257)
Pb (0.901, 0.251, 0.754)
O (0.016, 0.272, 0.364)
O (0.032, 0.554, 0.719)
O (0.036, 0.926, 0.037)
O (0.148, 0.693, 0.309)
O (0.272, 0.016, 0.864)
O (0.396, 0.517, 0.554)
O (0.408, 0.921, 0.557)
O (0.517, 0.396, 0.054)
O (0.554, 0.032, 0.219)
O (0.693, 0.148, 0.809)
O (0.921, 0.408, 0.057)
O (0.926, 0.036, 0.537)

=====

5.
Density functional theory data (PBE with a Hubbard U) for an optimized crystal structure of PmCoPbO4.

## Properties
SG: P2_1/m (11)

a = 5.780 Å, b = 6.124 Å, c = 7.061 Å
α = 90.00°, β = 111.14°, γ = 90.00°
Element x y z (fractional)
Pm (0.173, 0.250, 0.497)
Pm (0.827, 0.750, 0.503)
Co (0.262, 0.750, 0.320)
Co (0.738, 0.250, 0.680)
Pb (0.280, 0.250, 0.006)
Pb (0.720, 0.750, 0.994)
O (0.006, 0.035, 0.717)
O (0.006, 0.465, 0.717)
O (0.460, 0.750, 0.579)
O (0.461, 0.750, 0.172)
O (0.539, 0.250, 0.828)
O (0.540, 0.250, 0.421)
O (0.994, 0.535, 0.283)
O (0.994, 0.965, 0.283)

=====

6.
Density functional theory data (PBE with a Hubbard U) for an optimized crystal structure of Pr2CoPbO6.

## Properties
SG: P2_1/c (14)

a = 5.657 Å, b = 5.970 Å, c = 9.884 Å
α = 90.00°, β = 123.53°, γ = 90.00°
Element x y z (fractional)
Pr (0.225, 0.065, 0.248)
Pr (0.225, 0.435, 0.748)
Pr (0.775, 0.565, 0.252)
Pr (0.775, 0.935, 0.752)
Co (0.000, 0.000, 0.500)
Co (0.000, 0.500, 0.000)
Pb (0.500, 0.000, 0.000)
Pb (0.500, 0.500, 0.500)
O (0.127, 0.201, 0.938)
O (0.127, 0.299, 0.438)
O (0.235, 0.694, 0.937)
O (0.235, 0.806, 0.437)
O (0.365, 0.046, 0.745)
O (0.365, 0.454, 0.245)
O (0.635, 0.546, 0.755)
O (0.635, 0.954, 0.255)
O (0.765, 0.194, 0.563)
O (0.765, 0.306, 0.063)
O (0.873, 0.701, 0.562)
O (0.873, 0.799, 0.062)

=====

7.
Density functional theory data (PBE with a Hubbard U) for an optimized crystal structure of PrCoSbPbO6.

## Properties
DOS at the Fermi energy: 0.00 states/eV per cell
SG: Pc (7)

a = 5.699 Å, b = 5.811 Å, c = 9.829 Å
α = 90.00°, β = 125.24°, γ = 90.00°
Element x y z (fractional)
Pr (0.000, 0.194, 0.000)
Pr (0.000, 0.806, 0.500)
Co (0.764, 0.259, 0.250)
Co (0.764, 0.741, 0.750)
Sb (0.267, 0.257, 0.753)
Sb (0.267, 0.743, 0.253)
Pb (0.518, 0.276, 0.498)
Pb (0.518, 0.724, 0.998)
O (0.033, 0.456, 0.205)
O (0.033, 0.544, 0.705)
O (0.093, 0.222, 0.507)
O (0.093, 0.778, 0.007)
O (0.412, 0.265, 0.995)
O (0.412, 0.735, 0.495)
O (0.524, 0.017, 0.295)
O (0.524, 0.983, 0.795)
O (0.604, 0.447, 0.801)
O (0.604, 0.553, 0.301)
O (0.960, 0.037, 0.714)
O (0.960, 0.963, 0.214)

=====

8.
Density functional theory data (PBE with a Hubbard U) for an optimized crystal structure of CoPtPbO4.

## Properties
DOS at the Fermi energy: 4.12 states/eV per cell
SG: Imma (74)

a = 6.305 Å, b = 6.305 Å, c = 6.305 Å
α = 123.41°, β = 111.02°, γ = 95.20°
Element x y z (fractional)
Co (0.500, 0.000, 0.000)
Co (0.500, 0.500, 0.500)
Pt (0.000, 0.000, 0.000)
Pt (0.500, 0.000, 0.500)
Pb (0.097, 0.347, 0.750)
Pb (0.903, 0.653, 0.250)
O (0.272, 0.235, 0.463)
O (0.272, 0.809, 0.037)
O (0.310, 0.238, 0.072)
O (0.334, 0.762, 0.572)
O (0.666, 0.238, 0.428)
O (0.690, 0.762, 0.928)
O (0.728, 0.191, 0.963)
O (0.728, 0.765, 0.537)

=====

9.
Density functional theory data (PBE with a Hubbard U) for an optimized crystal structure of CoPtPbO6.

## Properties
DOS at the Fermi energy: 14.12 states/eV per cell
SG: P-31c (163)

a = 5.133 Å, b = 5.133 Å, c = 9.393 Å
α = 90.00°, β = 90.00°, γ = 120.00°
Element x y z (fractional)
Co (0.333, 0.667, 0.250)
Co (0.667, 0.333, 0.750)
Pt (0.333, 0.667, 0.750)
Pt (0.667, 0.333, 0.250)
Pb (0.000, 0.000, 0.000)
Pb (0.000, 0.000, 0.500)
O (0.013, 0.377, 0.136)
O (0.013, 0.636, 0.364)
O (0.364, 0.377, 0.364)
O (0.364, 0.987, 0.136)
O (0.377, 0.013, 0.636)
O (0.377, 0.364, 0.864)
O (0.623, 0.636, 0.136)
O (0.623, 0.987, 0.364)
O (0.636, 0.013, 0.864)
O (0.636, 0.623, 0.636)
O (0.987, 0.364, 0.636)
O (0.987, 0.623, 0.864)

=====

10.
Density functional theory data (PBE with a Hubbard U) for an optimized crystal structure of PuCoPbO6.

## Properties
SG: P-31c (163)

a = 5.174 Å, b = 5.174 Å, c = 11.110 Å
α = 90.00°, β = 90.00°, γ = 120.00°
Element x y z (fractional)
Pu (0.333, 0.667, 0.250)
Pu (0.667, 0.333, 0.750)
Co (0.333, 0.667, 0.750)
Co (0.667, 0.333, 0.250)
Pb (0.000, 0.000, 0.000)
Pb (0.000, 0.000, 0.500)
O (0.013, 0.374, 0.651)
O (0.013, 0.639, 0.849)
O (0.361, 0.374, 0.849)
O (0.361, 0.987, 0.651)
O (0.374, 0.013, 0.151)
O (0.374, 0.361, 0.349)
O (0.626, 0.639, 0.651)
O (0.626, 0.987, 0.849)
O (0.639, 0.013, 0.349)
O (0.639, 0.626, 0.151)
O (0.987, 0.361, 0.151)
O (0.987, 0.626, 0.349)

=====

11.
Density functional theory data (PBE with a Hubbard U) for an optimized crystal structure of RbCoPbO4.

## Properties
DOS at the Fermi energy: 0.66 states/eV per cell
SG: P2_1/m (11)

a = 5.798 Å, b = 5.987 Å, c = 7.751 Å
α = 90.00°, β = 109.64°, γ = 90.00°
Element x y z (fractional)
Rb (0.196, 0.250, 0.435)
Rb (0.804, 0.750, 0.565)
Co (0.246, 0.750, 0.160)
Co (0.754, 0.250, 0.840)
Pb (0.302, 0.250, 0.957)
Pb (0.698, 0.750, 0.043)
O (0.011, 0.750, 0.938)
O (0.040, 0.750, 0.295)
O (0.469, 0.518, 0.174)
O (0.469, 0.982, 0.174)
O (0.531, 0.018, 0.826)
O (0.531, 0.482, 0.826)
O (0.960, 0.250, 0.705)
O (0.989, 0.250, 0.062)

=====

12.
Density functional theory data (PBE with a Hubbard U) for an optimized crystal structure of Rb2CoPbO4.

## Properties
DOS at the Fermi energy: 0.88 states/eV per cell
SG: C2 (5)

a = 5.925 Å, b = 5.925 Å, c = 6.228 Å
α = 121.60°, β = 121.60°, γ = 84.15°
Element x y z (fractional)
Rb (0.000, 0.000, 0.000)
Rb (0.751, 0.249, 0.500)
Co (0.249, 0.751, 0.500)
Pb (0.500, 0.500, 0.000)
O (0.216, 0.502, 0.115)
O (0.385, 0.103, 0.603)
O (0.498, 0.784, 0.885)
O (0.897, 0.615, 0.397)

=====

Number 1: energy -0.380 Ry/atom, M_tot 9.3 Bohr magnetons per cell, calculated volume 177.6 Å³ per cell. Number 2: energy -0.409 Ry/atom, M_tot 2.5 Bohr magnetons per cell, calculated volume 224.1 Å³ per cell. Number 3: energy -0.384 Ry/atom, M_tot 5.3 Bohr magnetons per cell, calculated volume 93.3 Å³ per cell. Number 4: energy -0.401 Ry/atom, M_tot 6.5 Bohr magnetons per cell, calculated volume 426.0 Å³ per cell. Number 5: energy -0.479 Ry/atom, M_tot 8.0 Bohr magnetons per cell, calculated volume 233.1 Å³ per cell. Number 6: energy -0.511 Ry/atom, M_tot 5.9 Bohr magnetons per cell, calculated volume 278.2 Å³ per cell. Number 7: energy -0.481 Ry/atom, M_tot 6.0 Bohr magnetons per cell, calculated volume 265.8 Å³ per cell. Number 8: energy -0.415 Ry/atom, M_tot 0.0 Bohr magnetons per cell, calculated volume 181.5 Å³ per cell. Number 9: energy -0.414 Ry/atom, M_tot 1.4 Bohr magnetons per cell, calculated volume 214.3 Å³ per cell. Number 10: energy -0.553 Ry/atom, M_tot 2.0 Bohr magnetons per cell, calculated volume 257.5 Å³ per cell. Number 11: energy -0.384 Ry/atom, M_tot 8.0 Bohr magnetons per cell, calculated volume 253.4 Å³ per cell. Number 12: energy -0.366 Ry/atom, M_tot 3.0 Bohr magnetons per cell, calculated volume 154.1 Å³ per cell.